# 1
{
  "formula": "Rb2BaAlSb2",
  "functional": "GGA-PBE",
  "state": "optimized geometry",
  "magnetic_moment_mub_per_atom": 0.0001,
  "sg": "Ibam",
  "formation_energy_uncorrected_kcal_per_mol_atoms": -9.95,
  "cell": [[-4.119, 8.209, 3.824], [4.119, -8.209, 3.824], [4.119, 8.209, -3.824]],
  "species": ["Rb", "Rb", "Rb", "Rb", "Ba", "Ba", "Al", "Al", "Sb", "Sb", "Sb", "Sb"],
  "frac_coords": [[0.186, 0.193, 0.380], [0.314, 0.693, 0.007], [0.686, 0.307, 0.993], [0.814, 0.807, 0.620], [0.250, 0.750, 0.500], [0.750, 0.250, 0.500], [0.250, 0.250, 0.000], [0.750, 0.750, 0.000], [0.086, 0.807, 0.893], [0.414, 0.307, 0.722], [0.586, 0.693, 0.278], [0.914, 0.193, 0.107]]
}

# 2
{
  "formula": "RbBaAlTe3",
  "functional": "GGA-PBE",
  "state": "optimized geometry",
  "magnetic_moment_mub_per_atom": 0.0000,
  "sg": "C2/m",
  "formation_energy_uncorrected_kcal_per_mol_atoms": -20.49,
  "cell": [[9.162, -2.838, 0.000], [9.162, 2.838, 0.000], [-2.513, 0.000, 9.588]],
  "species": ["Rb", "Rb", "Ba", "Ba", "Al", "Al", "Te", "Te", "Te", "Te", "Te", "Te"],
  "frac_coords": [[0.149, 0.149, 0.067], [0.851, 0.851, 0.933], [0.145, 0.145, 0.568], [0.855, 0.855, 0.432], [0.492, 0.492, 0.733], [0.508, 0.508, 0.267], [0.001, 0.001, 0.737], [0.343, 0.343, 0.663], [0.360, 0.360, 0.207], [0.640, 0.640, 0.793], [0.657, 0.657, 0.337], [0.999, 0.999, 0.263]]
}

# 3
{
  "formula": "Ba2AlRe",
  "functional": "GGA-PBE",
  "state": "optimized geometry",
  "magnetic_moment_mub_per_atom": 0.3310,
  "sg": "P4/mmm",
  "e_form_ev_per_atom": 0.9542,
  "cell": [[3.487, 0.000, 0.000], [0.000, 3.487, 0.000], [0.000, 0.000, 9.839]],
  "species": ["Ba", "Ba", "Al", "Re"],
  "frac_coords": [[0.000, 0.000, 0.227], [0.000, 0.000, 0.773], [0.500, 0.500, 0.500], [0.500, 0.500, 0.000]]
}

# 4
{
  "formula": "BaAlRe2",
  "functional": "GGA-PBE",
  "state": "optimized geometry",
  "magnetic_moment_mub_per_atom": 0.0000,
  "sg": "Cmmm",
  "e_form_ev_per_atom": 1.4135,
  "cell": [[3.032, -4.757, 0.000], [3.032, 4.757, 0.000], [0.000, 0.000, 2.776]],
  "species": ["Ba", "Al", "Re", "Re"],
  "frac_coords": [[0.000, 0.000, 0.000], [0.500, 0.500, 0.000], [0.000, 0.500, 0.500], [0.500, 0.000, 0.500]]
}

# 5
{
  "formula": "Ba2AlRe",
  "functional": "GGA-PBE",
  "state": "optimized geometry",
  "magnetic_moment_mub_per_atom": 0.0000,
  "sg": "C2/m",
  "e_form_ev_per_atom": 1.1154,
  "cell": [[4.750, -1.565, 0.000], [4.750, 1.565, 0.000], [-0.657, 0.000, 8.266]],
  "species": ["Ba", "Ba", "Al", "Re"],
  "frac_coords": [[0.249, 0.249, 0.227], [0.751, 0.751, 0.773], [0.000, 0.000, 0.500], [0.500, 0.500, 0.000]]
}

# 6
{
  "formula": "Ba2AlRe",
  "functional": "GGA-PBE",
  "state": "optimized geometry",
  "magnetic_moment_mub_per_atom": 0.0036,
  "sg": "Amm2",
  "e_form_ev_per_atom": 0.5045,
  "cell": [[4.542, 0.000, 0.000], [0.000, 2.501, 5.945], [0.000, -2.501, 5.945]],
  "species": ["Ba", "Ba", "Al", "Re"],
  "frac_coords": [[0.000, 0.000, 0.000], [0.500, 0.287, 0.287], [0.500, 0.598, 0.598], [0.000, 0.685, 0.685]]
}